[1]
Material: NbV3Ag
Method: DFT, GGA-PBE
State: relaxed

Cell lengths 4.7211, 4.7211, 4.7211 Å; angles 90.00, 90.00, 90.00 degrees
With the nearest neighbours (Å) after each atom.
Space group Pm-3m (No. 221)
Unique sites:
Nb 0.0000 0.0000 0.0000  12 V 3.34
V 0.0000 0.5000 0.5000  2 Ag 2.36
Ag 0.5000 0.5000 0.5000  6 V 2.36

Values from the calculation:
- ΔE to the lowest computed polymorph: 389.6 meV/atom
- Energy of formation: 1.838 eV per atom

***

[2]
Material: LiAl2O2
Method: DFT, GGA-PBE
State: relaxed

Cell lengths 3.5423, 3.5423, 8.9826 Å; angles 90.00, 90.00, 90.00 degrees
With the nearest neighbours (Å) after each atom.
Space group I4/mmm (No. 139)
Unique sites:
Li 0.0000 0.0000 0.0000  10 Al 2.85-3.14, 8 O 2.86
Al 0.0000 0.0000 0.3490  4 O 1.98
O 0.0000 0.5000 0.2500  4 Al 1.98

Values from the calculation:
- ΔE to the lowest computed polymorph: 0.0 meV/atom
- Formation energy without anion corrections: -1.605 eV per atom

***

[3]
Material: Sr2Pd5Au12
Method: DFT, GGA-PBE
State: relaxed

Cell lengths 9.5998, 9.5998, 14.0274 Å; angles 90.00, 90.00, 120.00 degrees
With the nearest neighbours (Å) after each atom.
Space group R-3m (No. 166, hexagonal axes)
Unique sites:
Sr 0.0000 0.0000 0.1681  4 Pd 3.27-3.61, 12 Au 3.38-3.52
Pd 0.0000 0.0000 0.4010  4 Pd 2.78-2.93, 3 Au 2.99
Pd 0.0000 0.5000 0.0000  8 Au 2.76-2.77, 2 Pd 2.93
Au 0.0000 0.2987 0.5000  2 Pd 2.76, 6 Au 2.87-2.93
Au 0.0019 0.5010 0.3482  3 Pd 2.77-2.99, 6 Au 2.82-2.93

Values from the calculation:
- Energy of formation: -0.333 eV per atom

***

[4]
Material: Ac4TlIn3
Method: DFT, GGA-PBE
State: relaxed

Cell lengths 4.6853, 5.0186, 12.4360 Å; angles 90.00, 90.00, 90.00 degrees
With the nearest neighbours (Å) after each atom.
Space group Pmm2 (No. 25)
Unique sites:
Ac 0.0000 0.0000 0.0000  5 In 3.52-3.54, 2 Tl 3.72
Ac 0.0000 0.5000 0.4973  1 Tl 3.50, 6 In 3.52-3.65
Ac 0.5000 0.0000 0.7216  4 Tl 3.51, 3 In 3.55-3.67
Ac 0.5000 0.5000 0.2206  7 In 3.52-3.67
Tl 0.0000 0.5000 0.7788  2 In 3.06
In 0.0000 0.0000 0.2845  2 In 3.01
In 0.5000 0.0000 0.4358  2 In 3.01
In 0.5000 0.5000 0.9372  2 Tl 3.06

Values from the calculation:
- ΔE to the lowest computed polymorph: 0.0 meV/atom
- Energy of formation: -0.408 eV per atom

***

[5]
Material: CaNdAs2Rh5
Method: DFT, GGA-PBE
State: relaxed

Cell lengths 4.2335, 4.2335, 9.0843 Å; angles 90.00, 90.00, 90.00 degrees
With the nearest neighbours (Å) after each atom.
Space group P4/mmm (No. 123)
Unique sites:
Ca 0.0000 0.0000 0.0000  8 Rh 3.22, 8 As 3.28
Nd 0.0000 0.0000 0.5000  12 Rh 2.99
As 0.5000 0.5000 0.1474  4 Rh 2.38
Rh 0.0000 0.5000 0.2676  2 As 2.38
Rh 0.5000 0.5000 0.5000  8 Rh 2.99, 4 Nd 2.99, 2 As 3.20

Values from the calculation:
- Energy of formation: -0.688 eV per atom

***

[6]
Material: Mn2AlRe
Method: DFT, GGA-PBE
State: relaxed

Cell lengths 2.6840, 2.6840, 25.1152 Å; angles 90.00, 90.00, 120.00 degrees
With the nearest neighbours (Å) after each atom.
Space group R-3m (No. 166, hexagonal axes)
Unique sites:
Mn 0.0000 0.0000 0.2499  3 Re 2.60, 3 Al 2.61, 6 Mn 2.68
Al 0.0000 0.0000 0.0000  6 Mn 2.61, 6 Al 2.68
Re 0.0000 0.0000 0.5000  6 Mn 2.60, 6 Re 2.68

Values from the calculation:
- Energy of formation: 0.062 eV per atom